## CeSmCu2 (PBE)

Data for an optimized crystal structure of CeSmCu2.

As for the volume: 354.9 Å³ per cell. The formation energy is -85 meV/atom. The calculation puts the density at 7.816 Mg/m³. The energy relative to the lowest polymorph listed for this composition comes out at 0.050 eV/f.u. The value obtained for the energy is -4.7961 eV per atom.

The space group is Fm-3m (No. 225) and the conventional cell measures 7.080, 7.080 and 7.080 Å, with angles of 90.00, 90.00 and 90.00 degrees. The inequivalent atoms are Ce at (0.000, 0.000, 0.000), Sm at (0.000, 0.000, 0.500) and Cu at (0.250, 0.250, 0.250).